Record 1
Computed, not measured: Er2Hf after structural relaxation at the GGA-PBE level of DFT.

Unit cell a=7.680 b=7.680 c=7.680 alpha=154.81 beta=154.81 gamma=35.93
Sites, in units of the cell vectors:
Er  0.155  0.155  0.000
Er  0.845  0.845  0.000
Hf  0.500  0.500  0.000

Computed properties:
- DFT formation energy (eV per atom) = 0.105
- crystal system = tetragonal
- E_tot (eV/atom) = -6.255
- theoretical density (g cm⁻³) = 10.4



Record 2
Computed, not measured: La3Pm8Nd3 after structural relaxation at the GGA-PBE level of DFT.

Unit cell a=9.990 b=9.990 c=9.990 alpha=146.20 beta=113.27 gamma=76.94
Sites, in units of the cell vectors:
La  0.000  0.000  0.000
La  0.307  0.000  0.307
La  0.693  0.000  0.693
Pm  0.060  0.397  0.663
Pm  0.061  0.222  0.839
Pm  0.266  0.603  0.663
Pm  0.382  0.222  0.161
Pm  0.618  0.778  0.839
Pm  0.734  0.397  0.337
Pm  0.939  0.778  0.161
Pm  0.940  0.603  0.337
Nd  0.314  0.814  0.500
Nd  0.500  0.500  0.000
Nd  0.686  0.186  0.500

Computed properties:
- DFT formation energy (eV per atom) = 0.102
- crystal system = orthorhombic
- E_tot (eV/atom) = -4.690
- theoretical density (g cm⁻³) = 6.7



Record 3
Computed, not measured: TbMgSi2Pt5 after structural relaxation at the GGA-PBE level of DFT.

Unit cell a=4.141 b=4.141 c=8.950 alpha=90.00 beta=90.00 gamma=90.00
Sites, in units of the cell vectors:
Tb  0.000  0.000  0.000
Mg  0.000  0.000  0.500
Si  0.500  0.500  0.373
Si  0.500  0.500  0.627
Pt  0.000  0.500  0.240
Pt  0.000  0.500  0.760
Pt  0.500  0.000  0.240
Pt  0.500  0.000  0.760
Pt  0.500  0.500  0.000

Computed properties:
- formation energy (no corrections) (eV per atom) = -0.901
- crystal system = tetragonal
- E_tot (eV/atom) = -6.153
- theoretical density (g cm⁻³) = 13.1



Record 4
Computed, not measured: La4Sm5Cd after structural relaxation at the GGA-PBE level of DFT.

Unit cell a=8.283 b=8.283 c=8.283 alpha=97.40 beta=97.40 gamma=137.93
Sites, in units of the cell vectors:
La  0.000  0.313  0.313
La  0.000  0.687  0.687
La  0.313  0.000  0.313
La  0.687  0.000  0.687
Sm  0.186  0.186  0.000
Sm  0.303  0.303  0.632
Sm  0.303  0.671  0.000
Sm  0.671  0.303  0.000
Sm  0.671  0.671  0.368
Cd  0.707  0.707  0.000

Computed properties:
- DFT formation energy (eV per atom) = 0.084
- crystal system = tetragonal
- E_tot (eV/atom) = -4.338
- theoretical density (g cm⁻³) = 6.6



Record 5
Computed, not measured: CaMoSeBr2 after structural relaxation at the GGA-PBE level of DFT.

Unit cell a=5.403 b=5.403 c=5.750 alpha=90.00 beta=90.00 gamma=90.00
Sites, in units of the cell vectors:
Ca  0.000  0.000  0.000
Mo  0.500  0.500  0.500
Se  0.000  0.000  0.500
Br  0.000  0.500  0.000
Br  0.500  0.000  0.000

Computed properties:
- formation energy (no corrections) (eV per atom) = 0.017
- excess energy over the best structure of this formula in the dataset (eV/atom) = 0.462
- crystal system = tetragonal
- E_tot (eV/atom) = -3.916
- theoretical density (g cm⁻³) = 3.7



Record 6
Computed, not measured: LaHoGa2Rh2 after structural relaxation at the GGA-PBE level of DFT.

Unit cell a=4.428 b=4.428 c=7.366 alpha=90.00 beta=90.00 gamma=120.00
Sites, in units of the cell vectors:
La  0.000  0.000  0.000
Ho  0.000  0.000  0.500
Ga  0.333  0.667  0.278
Ga  0.667  0.333  0.722
Rh  0.333  0.667  0.711
Rh  0.667  0.333  0.289

Computed properties:
- DFT formation energy (eV per atom) = -0.818
- crystal system = trigonal
- E_tot (eV/atom) = -5.862
- theoretical density (g cm⁻³) = 8.6



Record 7
Computed, not measured: Ce5HgPb after structural relaxation at the GGA-PBE level of DFT.

Unit cell a=8.699 b=8.699 c=8.699 alpha=132.75 beta=83.81 gamma=115.41
Sites, in units of the cell vectors:
Ce  0.195  0.000  0.695
Ce  0.195  0.500  0.195
Ce  0.248  0.151  0.098
Ce  0.273  0.523  0.750
Ce  0.447  0.849  0.598
Ce  0.553  0.151  0.402
Ce  0.727  0.477  0.250
Ce  0.752  0.849  0.902
Ce  0.805  0.000  0.305
Ce  0.805  0.500  0.805
Hg  0.000  0.500  0.500
Hg  0.500  0.500  0.000
Pb  0.123  0.873  0.250
Pb  0.877  0.127  0.750

Computed properties:
- DFT formation energy (eV per atom) = -0.064
- crystal system = orthorhombic
- E_tot (eV/atom) = -4.875
- theoretical density (g cm⁻³) = 8.8



Record 8
Computed, not measured: La5Nd2Dy2 after structural relaxation at the GGA-PBE level of DFT.

Unit cell a=10.233 b=10.233 c=10.233 alpha=84.85 beta=108.88 gamma=140.01
Sites, in units of the cell vectors:
La  0.066  0.071  0.495
La  0.072  0.487  0.872
La  0.072  0.699  0.084
La  0.229  0.052  0.281
La  0.229  0.448  0.677
La  0.576  0.571  0.505
La  0.615  0.199  0.128
La  0.615  0.987  0.916
La  0.771  0.552  0.323
La  0.771  0.948  0.719
Nd  0.171  0.307  0.124
Nd  0.171  0.547  0.364
Nd  0.183  0.047  0.876
Nd  0.183  0.807  0.636
Dy  0.612  0.869  0.244
Dy  0.625  0.369  0.756
Dy  0.649  0.149  0.500
Dy  0.649  0.649  0.000

Computed properties:
- DFT formation energy (eV per atom) = 0.183
- excess energy over the best structure of this formula in the dataset (eV/atom) = 0.163
- crystal system = orthorhombic
- E_tot (eV/atom) = -4.637
- theoretical density (g cm⁻³) = 6.9



Which of these has the highest E_tot? CaMoSeBr2